1.
Material: Sc2TcP
Method: DFT, PBE
State: relaxed

## Properties
VASP energy = -0.2751 hartree per atom
ΔH_f (0 K) = -0.3773 eV per atom
Density of states at the Fermi level = 0.315 states/eV per atom

Cell and atoms, written as extended XYZ:
```
4
Lattice="3.368 1.793 2.330 -0.832 2.188 3.809 1.211 -1.787 3.915" Properties=species:S:1:pos:R:3 pbc="T T T"
Sc 0.000 0.000 0.000
Sc 2.810 1.645 7.540
Tc 0.937 0.548 2.513
P 1.874 1.097 5.027
```


2.
Material: Sc6BiPd12
Method: DFT, PBE
State: relaxed

## Properties
VASP energy = -0.2282 hartree per atom
ΔH_f (0 K) = -0.7267 eV per atom
Density of states at the Fermi level = 0.490 states/eV per atom

Cell and atoms, written as extended XYZ:
```
19
Lattice="7.561 -0.924 -1.107 -2.059 7.334 -1.107 -2.059 -2.399 7.018" Properties=species:S:1:pos:R:3 pbc="T T T"
Sc 2.082 5.137 1.264
Sc 3.437 1.904 -0.475
Sc -1.319 3.274 1.788
Sc 1.361 -1.126 3.541
Sc 0.006 2.107 5.280
Sc 4.762 0.737 3.017
Bi 0.000 0.000 0.000
Pd 3.545 2.920 2.026
Pd 0.918 3.727 3.235
Pd 2.349 1.288 4.245
Pd -0.102 1.091 2.779
Pd 2.525 0.284 1.570
Pd 1.094 2.723 0.560
Pd 4.454 4.598 -0.056
Pd -0.427 4.977 -0.202
Pd 4.985 -0.259 0.291
Pd -1.011 -0.587 4.861
Pd 3.869 -0.966 5.008
Pd -1.542 4.270 4.514
```


Copy entry 1 word for word.
Material: Sc2TcP
Method: DFT, PBE
State: relaxed

## Properties
VASP energy = -0.2751 hartree per atom
ΔH_f (0 K) = -0.3773 eV per atom
Density of states at the Fermi level = 0.315 states/eV per atom

Cell and atoms, written as extended XYZ:
```
4
Lattice="3.368 1.793 2.330 -0.832 2.188 3.809 1.211 -1.787 3.915" Properties=species:S:1:pos:R:3 pbc="T T T"
Sc 0.000 0.000 0.000
Sc 2.810 1.645 7.540
Tc 0.937 0.548 2.513
P 1.874 1.097 5.027
```